VASP calculation (PBE-GGA) on ScCoTc2 after structural relaxation.

Cell: 2.6909 2.6909 8.1591 Å, 90.00 90.00 90.00°
Sites, in units of the cell vectors:
Sc1 0.0000 0.0000 0.0000
Co1 0.0000 0.0000 0.5000
Tc1 0.5000 0.5000 0.2838
Tc2 0.5000 0.5000 0.7162

Summary:
The calculation puts the formation energy at 0.32 eV/f.u. The energy is -33.85 eV/cell. Its density of states at the Fermi level is 0.854 states/eV/atom. For the energy relative to the lowest polymorph listed for this composition, the calculation gives 175 meV per atom. Its volume is 14.77 A^3/atom.